No. 1
The following is a DFT calculation (GGA-PBE) of a relaxed structure of Sm3AlGe.

For the density of states at the Fermi level, the calculation gives 0.86 states/eV/atom. Its energy is -99.0 eV for the cell shown.

a b c (Å): 15.358 4.183 8.581
angles (deg): 90.00 92.70 90.00
Space group C2/m (No. 12)
Symmetry-distinct sites (fractional):
Sm (0.049, 0.000, 0.175) x4
Sm (0.092, 0.500, 0.587) x4
Sm (0.237, 0.000, 0.822) x4
Al (0.207, 0.000, 0.435) x4
Ge (0.108, 0.500, 0.936) x4

=====

No. 2
The following is a DFT calculation (GGA-PBE) of a relaxed structure of Sm3Al2Ge3.

For the density of states at the Fermi level, the calculation gives 0.76 states/eV/atom. Its energy is -163.5 eV for the cell shown.

a b c (Å): 4.230 11.362 14.764
angles (deg): 90.00 90.00 90.00
Space group Cmcm (No. 63)
Symmetry-distinct sites (fractional):
Sm (0.000, 0.063, 0.114) x8
Sm (0.000, 0.354, 0.250) x4
Al (0.000, 0.223, 0.603) x8
Ge (0.000, 0.362, 0.750) x4
Ge (0.000, 0.380, 0.041) x8

=====

No. 3
The following is a DFT calculation (GGA-PBE) of a relaxed structure of Sm2AlGe.

For the density of states at the Fermi level, the calculation gives 0.65 states/eV/atom. Its energy is -19.8 eV for the cell shown.

a b c (Å): 4.848 4.848 4.143
angles (deg): 90.00 90.00 90.00
Space group P4/mmm (No. 123)
Symmetry-distinct sites (fractional):
Sm (0.000, 0.500, 0.000) x2
Al (0.000, 0.000, 0.500) x1
Ge (0.500, 0.500, 0.500) x1

=====

No. 4
The following is a DFT calculation (GGA-PBE) of a relaxed structure of Sm3AlGe2.

For the density of states at the Fermi level, the calculation gives 0.69 states/eV/atom. Its energy is -125.5 eV for the cell shown.

a b c (Å): 11.879 4.251 11.935
angles (deg): 90.00 90.00 90.00
Space group Pnma (No. 62)
Symmetry-distinct sites (fractional):
Sm (0.059, 0.250, 0.118) x4
Sm (0.124, 0.750, 0.562) x4
Sm (0.199, 0.250, 0.798) x4
Al (0.134, 0.250, 0.368) x4
Ge (0.024, 0.750, 0.314) x4
Ge (0.188, 0.750, 0.993) x4

=====

No. 5
The following is a DFT calculation (GGA-PBE) of a relaxed structure of Sm2AlGe.

For the density of states at the Fermi level, the calculation gives 0.89 states/eV/atom. Its energy is -41.0 eV for the cell shown.

a b c (Å): 6.011 4.081 8.739
angles (deg): 90.00 107.76 90.00
Space group P2_1/m (No. 11)
Symmetry-distinct sites (fractional):
Sm (0.206, 0.250, 0.426) x2
Sm (0.284, 0.750, 0.068) x2
Al (0.360, 0.750, 0.714) x2
Ge (0.139, 0.250, 0.790) x2

=====

No. 6
The following is a DFT calculation (GGA-PBE) of a relaxed structure of SmAl3Ge3.

For the density of states at the Fermi level, the calculation gives 0.36 states/eV/atom. Its energy is -57.9 eV for the cell shown.

a b c (Å): 6.988 6.988 6.988
angles (deg): 90.00 90.00 90.00
Space group Pm-3n (No. 223)
Symmetry-distinct sites (fractional):
Sm (0.000, 0.000, 0.000) x2
Al (0.000, 0.250, 0.500) x6
Ge (0.000, 0.500, 0.250) x6

=====

Q: Among the records above, which one has the highest energy?
A: number 3